Entry 1:
Below is a crystal of Sr2MgRe relaxed with PBEsol, with properties calculated at the meta-GGA SCAN level.

Summary:
E = -116.88 eV for the cell shown
Fermi-level density of states = 4.8 states/eV/f.u.
space-group type = F-43m
DFT formation energy = 0.935 eV per atom

The structure in POSCAR format:
```
Sr2MgRe
1.0
-0.0736 4.6306 2.3911
-1.3119 0.3127 5.0345
3.6200 1.1474 3.5699
Mg Re Sr
1 1 2
direct
0.5000 0.5000 0.5000
0.2500 0.2500 0.2500
0.0000 0.0000 0.0000
0.7500 0.7500 0.7500
```

---

Entry 2:
Below is a crystal of Sr2MgRe relaxed with PBEsol, with properties calculated at the meta-GGA SCAN level.

Summary:
E = -117.26 eV for the cell shown
Fermi-level density of states = 3.6 states/eV/f.u.
space-group type = Pm
DFT formation energy = 0.842 eV per atom

The structure in POSCAR format:
```
Sr2MgRe
1.0
3.1500 0.0000 -0.1424
0.0000 5.0020 0.0000
-1.3367 0.0000 6.7513
Mg Re Sr
1 1 2
direct
0.3208 0.0000 0.5250
0.4286 0.5000 0.7251
0.0398 0.0000 0.9407
0.7108 0.5000 0.3092
```

---

Entry 3:
Below is a crystal of Sr2MgRe relaxed with PBEsol, with properties calculated at the meta-GGA SCAN level.

Summary:
E = -117.02 eV for the cell shown
Fermi-level density of states = 3.8 states/eV/f.u.
space-group type = I4/mmm
DFT formation energy = 0.900 eV per atom

The structure in POSCAR format:
```
Sr2MgRe
1.0
5.0833 0.0000 0.0000
-2.5416 4.8508 -0.0039
0.0000 2.6669 4.3275
Mg Re Sr
1 1 2
direct
0.5000 0.0000 0.5000
0.0000 0.0000 0.0000
0.2500 0.5000 0.2500
0.7500 0.5000 0.7500
```